Entry from Alexandria via LeMat-Bulk: a relaxed BaBiTe2Ru crystal (PBE-GGA).

Cell: 5.958 6.509 5.958 Å, 90.00 90.00 90.00°
Fractional coordinates of all 5 atoms:
Te1 0.000 0.000 0.500
Te2 0.500 0.000 0.000
Ru1 0.500 0.500 0.500
Ba1 0.000 0.500 0.000
Bi1 0.000 0.000 0.000

Summary:
Polymorph energy (0 for the lowest one), kJ per mole of atoms: 0.0
Uncorrected formation energy, eV/atom: 0.947
DOS at the Fermi energy, states/eV per atom: 0.7775

***

Entry from Alexandria via LeMat-Bulk: a relaxed CsSi3H crystal (PBE-GGA).

Cell: 4.654 4.654 4.654 Å, 90.00 90.00 90.00°
Fractional coordinates of all 5 atoms:
Cs1 0.500 0.500 0.500
Si1 0.000 0.000 0.500
Si2 0.500 0.000 0.000
Si3 0.000 0.500 0.000
H1 0.000 0.000 0.000

Summary:
Polymorph energy (0 for the lowest one), kJ per mole of atoms: 0.0
DOS at the Fermi energy, states/eV per atom: 0.3687

***

Entry from Alexandria via LeMat-Bulk: a relaxed Be2SiSb crystal (PBE-GGA).

Cell: 3.111 3.111 6.334 Å, 90.00 90.00 90.00°
Fractional coordinates of all 4 atoms:
Be1 0.000 0.000 0.921
Be2 0.000 0.000 0.579
Sb1 0.500 0.500 0.250
Si1 0.500 0.500 0.750

Summary:
Polymorph energy (0 for the lowest one), kJ per mole of atoms: 25.9
Uncorrected formation energy, eV/atom: 0.588
DOS at the Fermi energy, states/eV per atom: 0.3925

***

Entry from Alexandria via LeMat-Bulk: a relaxed Ba2AcBr2O2 crystal (PBE-GGA).

Cell: 4.858 4.858 9.273 Å, 105.19 105.19 90.00°
Fractional coordinates of all 7 atoms:
O1 0.000 0.500 0.000
O2 0.500 0.000 0.000
Ba1 0.613 0.613 0.227
Ba2 0.387 0.387 0.773
Ac1 0.000 0.000 0.000
Br1 0.188 0.188 0.375
Br2 0.812 0.812 0.625

Summary:
Uncorrected formation energy, eV/atom: -2.266
DOS at the Fermi energy, states/eV per atom: 0.5364